No. 1
A relaxed K3Ni2Cl7 crystal. Source: Alexandria, functional GGA-PBE.

The uncorrected formation energy is -1.221 eV per atom. The calculation puts the total magnetic moment at 2.50 Bohr magnetons per cell.

a = 4.8073 Å, b = 4.8073 Å, c = 24.8746 Å
α = 90.00°, β = 90.00°, γ = 90.00°
Space group I4/mmm (No. 139)
Asymmetric unit:
K 0.0000 0.0000 0.0000 [2 per cell]
K 0.0000 0.0000 0.1807 [4 per cell]
Ni 0.0000 0.0000 0.4035 [4 per cell]
Cl 0.0000 0.0000 0.3091 [4 per cell]
Cl 0.0000 0.0000 0.5000 [2 per cell]
Cl 0.0000 0.5000 0.0942 [8 per cell]

No. 2
A relaxed GdDyHoTm crystal. Source: Alexandria, functional GGA-PBE.

The calculation puts the formation energy from the elements at 0.119 eV/atom. The calculation puts the total magnetic moment at 33.72 Bohr magnetons per cell.

a = 7.9677 Å, b = 7.9677 Å, c = 7.9677 Å
α = 90.00°, β = 90.00°, γ = 90.00°
Space group F-43m (No. 216)
Asymmetric unit:
Gd 0.0000 0.0000 0.0000 [4 per cell]
Dy 0.0000 0.0000 0.5000 [4 per cell]
Ho 0.2500 0.2500 0.7500 [4 per cell]
Tm 0.2500 0.2500 0.2500 [4 per cell]

No. 3
A relaxed AlAg2H2 crystal. Source: Alexandria, functional GGA-PBE.

The energy above the lowest structure with this stoichiometry comes out at 0.05 eV/f.u. The calculation puts the total magnetic moment at 0.00 Bohr magnetons per cell.

a = 3.6871 Å, b = 3.6871 Å, c = 9.3681 Å
α = 90.00°, β = 90.00°, γ = 90.00°
Space group I4/mmm (No. 139)
Asymmetric unit:
Al 0.0000 0.0000 0.0000 [2 per cell]
Ag 0.0000 0.0000 0.3479 [4 per cell]
H 0.0000 0.5000 0.2500 [4 per cell]

No. 4
A relaxed CaY2TmAu4 crystal. Source: Alexandria, functional GGA-PBE.

The calculation puts the formation energy from the elements at -0.855 eV/atom. The calculation puts the total magnetic moment at 0.00 Bohr magnetons per cell.

a = 5.0684 Å, b = 5.0684 Å, c = 25.0997 Å
α = 90.00°, β = 90.00°, γ = 120.00°
Space group R-3m (No. 166, hexagonal axes)
Asymmetric unit:
Ca 0.0000 0.0000 0.0000 [3 per cell]
Y 0.0000 0.0000 0.2514 [6 per cell]
Tm 0.0000 0.0000 0.5000 [3 per cell]
Au 0.0000 0.0000 0.1306 [6 per cell]
Au 0.0000 0.0000 0.3800 [6 per cell]

No. 5
A relaxed ScSn2Pd2 crystal. Source: Alexandria, functional GGA-PBE.

The calculation puts the formation energy from the elements at -0.514 eV/atom. The calculation puts the total magnetic moment at 0.00 Bohr magnetons per cell.

a = 7.6530 Å, b = 7.6530 Å, c = 3.4134 Å
α = 90.00°, β = 90.00°, γ = 90.00°
Space group P4/mbm (No. 127)
Asymmetric unit:
Sc 0.0000 0.0000 0.0000 [2 per cell]
Sn 0.1698 0.3302 0.5000 [4 per cell]
Pd 0.1285 0.6285 0.0000 [4 per cell]

No. 6
A relaxed La6NdHg5 crystal. Source: Alexandria, functional GGA-PBE.

The calculation puts the formation energy from the elements at -0.375 eV/atom. The calculation puts the total magnetic moment at 1.83 Bohr magnetons per cell.

a = 5.5415 Å, b = 7.8295 Å, c = 8.9173 Å
α = 90.00°, β = 108.21°, γ = 90.00°
Space group P2/m (No. 10)
Asymmetric unit:
La 0.0000 0.2266 0.0000 [2 per cell]
La 0.3265 0.2514 0.6515 [4 per cell]
Nd 0.5000 0.5000 0.0000 [1 per cell]
Hg 0.1503 0.5000 0.3024 [2 per cell]
Hg 0.1658 0.0000 0.3341 [2 per cell]
Hg 0.5000 0.0000 0.0000 [1 per cell]

Calculated raw total energy in order - -3.54; -6.81; -2.80; -4.92; -5.46; -3.36 eV per atom